Record 1
Crystalline ZrFe2BOs at its relaxed geometry, computed with PBE.

Output
* space group: P4/mmm, No. 123
* calculated formation energy: -242 meV per atom

```
ZrFe2BOs
1.0
3.942 0.000 0.000
0.000 3.942 0.000
0.000 0.000 4.102
Fe Os Zr B
2 1 1 1
Direct
0.000 0.500 0.000
0.500 0.000 0.000
0.000 0.000 0.500
0.500 0.500 0.500
0.000 0.000 0.000
```

Record 2
Crystalline FeB3P at its relaxed geometry, computed with PBE.

Output
* space group: Pm-3m, No. 221
* calculated formation energy: 1311 meV per atom

```
FeB3P
1.0
3.818 0.000 0.000
0.000 3.818 0.000
0.000 0.000 3.818
P B Fe
1 3 1
Direct
0.500 0.500 0.500
0.500 0.000 0.000
0.000 0.000 0.500
0.000 0.500 0.000
0.000 0.000 0.000
```

Record 3
Crystalline FeB2P at its relaxed geometry, computed with PBE.

Output
* space group: I-42d, No. 122
* calculated formation energy: 423 meV per atom

```
FeB2P
1.0
4.642 0.000 0.000
0.000 4.642 0.000
2.321 2.321 4.338
B Fe P
4 2 2
Direct
0.135 0.625 0.250
0.615 0.125 0.250
0.375 0.385 0.750
0.875 0.865 0.750
0.000 0.000 0.000
0.750 0.250 0.500
0.500 0.500 0.000
0.250 0.750 0.500
```

Record 4
Crystalline FeB3P at its relaxed geometry, computed with PBE.

Output
* space group: Pm-3m, No. 221
* calculated formation energy: 1777 meV per atom

```
FeB3P
1.0
-3.679 -0.801 0.261
0.527 -1.273 3.514
-0.657 3.461 1.353
Fe B P
1 3 1
Direct
0.500 0.500 0.500
0.500 0.000 0.000
0.000 0.500 0.000
0.000 0.000 0.500
0.000 0.000 0.000
```

Record 5
Crystalline FeBP at its relaxed geometry, computed with PBE.

Output
* space group: P2_1/c, No. 14
* calculated formation energy: 77 meV per atom

```
FeBP
1.0
5.463 0.000 0.000
0.000 5.515 -1.112
0.000 -2.585 5.109
P Fe B
4 4 4
Direct
0.591 0.682 0.855
0.409 0.318 0.145
0.909 0.682 0.355
0.091 0.318 0.645
0.533 0.750 0.266
0.467 0.250 0.734
0.033 0.250 0.234
0.967 0.750 0.766
0.407 0.130 0.328
0.093 0.130 0.828
0.907 0.870 0.172
0.593 0.870 0.672
```

Record 6
Crystalline FeBP2Pd at its relaxed geometry, computed with PBE.

Output
* space group: P4/mmm, No. 123
* calculated formation energy: 1945 meV per atom

```
FeBP2Pd
1.0
-1.612 -0.274 4.141
1.316 -4.687 0.202
3.972 1.185 1.625
P Fe B Pd
2 1 1 1
Direct
0.500 0.000 0.000
0.000 0.000 0.500
0.000 0.500 0.000
0.500 0.500 0.500
0.000 0.000 0.000
```

Record 7
Crystalline RbFeB2P at its relaxed geometry, computed with PBE.

Output
* space group: P4/mmm, No. 123
* calculated formation energy: 824 meV per atom

```
RbFeB2P
1.0
-0.706 -0.117 -4.036
3.125 -3.152 -0.455
-2.839 -2.898 0.580
P Fe Rb B
1 1 1 2
Direct
0.000 0.500 0.000
0.000 0.000 0.000
0.500 0.500 0.500
0.000 0.000 0.500
0.500 0.000 0.000
```

Record 8
Crystalline FeB2PRh at its relaxed geometry, computed with PBE.

Output
* space group: P4/mmm, No. 123
* calculated formation energy: 1092 meV per atom

```
FeB2PRh
1.0
-2.935 -1.663 1.947
3.144 -3.482 1.766
0.766 2.255 3.082
B P Fe Rh
2 1 1 1
Direct
0.000 0.000 0.500
0.500 0.000 0.000
0.500 0.500 0.500
0.000 0.500 0.000
0.000 0.000 0.000
```